Material: Tb4Ho9Hg11
Method: DFT, PBE
State: relaxed

Cell lengths 15.7727, 22.3410, 3.5478 Å; angles 90.00, 90.00, 90.00 degrees
Space group Cmmm (No. 65)
Asymmetric unit:
Tb1 0.1625 0.0852 0.0000 (multiplicity 8)
Ho1 0.0000 0.0000 0.0000 (multiplicity 2)
Ho2 0.1132 0.4091 0.0000 (multiplicity 8)
Ho3 0.1153 0.2357 0.0000 (multiplicity 8)
Hg1 0.0000 0.1297 0.5000 (multiplicity 4)
Hg2 0.0000 0.3213 0.5000 (multiplicity 4)
Hg3 0.0000 0.5000 0.5000 (multiplicity 2)
Hg4 0.2199 0.5000 0.5000 (multiplicity 4)
Hg5 0.2328 0.3212 0.5000 (multiplicity 8)

Total magnetic moment ... 3.015 μB per cell
Electronic total energy ... -143.9 eV/cell
Energy of formation from the pure elements ... -0.37 eV/atom